VASP calculation (GGA-PBE) on an optimized crystal structure of V3MoRu.

Summary:
Energy relative to the lowest polymorph listed for this composition, meV per atom: 1212.6

Cell lengths 4.509, 4.509, 4.509 Å; angles 90.00, 90.00, 90.00 degrees
Space group Pm-3m (No. 221)
Symmetry-distinct sites (fractional):
V 0.000 0.000 0.500
Mo 0.500 0.500 0.500
Ru 0.000 0.000 0.000

VASP calculation (GGA-PBE) on an optimized crystal structure of Nd2Al3CdPd4.

Summary:
E, eV/atom: -5.00

Cell lengths 4.344, 4.344, 10.665 Å; angles 90.00, 90.00, 90.00 degrees
Space group P-4m2 (No. 115)
Symmetry-distinct sites (fractional):
Nd 0.000 0.500 0.242
Al 0.000 0.500 0.881
Al 0.500 0.500 0.500
Cd 0.000 0.000 0.500
Pd 0.000 0.000 0.000
Pd 0.000 0.500 0.649
Pd 0.500 0.500 0.000

VASP calculation (GGA-PBE) on an optimized crystal structure of PaAlReRu.

Summary:
E, eV/atom: -9.03

Cell lengths 6.544, 6.544, 6.544 Å; angles 90.00, 90.00, 90.00 degrees
Space group F-43m (No. 216)
Symmetry-distinct sites (fractional):
Pa 0.000 0.000 0.000
Al 0.000 0.000 0.500
Re 0.250 0.250 0.750
Ru 0.250 0.250 0.250